Computed, not measured: a PBEsol-optimized structure of Sr2TlCu at the meta-GGA SCAN level of DFT.

Cell: 3.7968 3.7968 7.9811 Å, 90.00 90.00 90.00°
Last column: nearest neighbours and their distance in Å.
Fractional coordinates of all 4 atoms:
1 Cu 0.5000 0.5000 0.5000  8 Sr 3.25
2 Sr 0.0000 0.0000 0.2706  4 Cu 3.25, 4 Tl 3.45
3 Sr 0.0000 0.0000 0.7294  4 Cu 3.25, 4 Tl 3.45
4 Tl 0.5000 0.5000 0.0000  8 Sr 3.45, 4 Tl 3.80

Fermi-level density of states ... 3.21 states/eV per cell
Uncorrected energy ... -133.07 eV for the cell shown
V ... 28.763 Å³/atom
Formation energy ... -0.2395 eV per atom



Computed, not measured: a PBEsol-optimized structure of ZrSi2Pt at the meta-GGA SCAN level of DFT.

Cell: 2.9059 3.3009 6.4670 Å, 90.00 90.00 90.00°
Last column: nearest neighbours and their distance in Å.
Fractional coordinates of all 4 atoms:
1 Si 0.0000 0.0000 0.7199  4 Pt 2.62, 3 Si 2.84-2.91, 4 Zr 2.85
2 Si 0.0000 0.0000 0.2801  4 Pt 2.62, 3 Si 2.84-2.91, 4 Zr 2.85
3 Zr 0.5000 0.5000 0.0000  8 Si 2.85, 2 Zr 2.91
4 Pt 0.5000 0.5000 0.5000  8 Si 2.62, 2 Pt 2.91

Fermi-level density of states ... 1.87 states/eV per cell
Uncorrected energy ... -122.73 eV for the cell shown
V ... 15.508 Å³/atom
Energy relative to the elements, uncorrected ... -0.45 eV per atom